Entry from the Alexandria database: a relaxed structure of SmScCdRu (PBE).

a = 4.9563 Å, b = 4.9563 Å, c = 4.9563 Å
α = 60.00°, β = 60.00°, γ = 60.00°
Last column: nearest neighbours and their distance in Å.
Fractional coordinates of all 4 atoms:
Sc  0.5000  0.5000  0.5000  4 Cd 3.04, 4 Ru 3.04
Sm  0.0000  0.0000  0.0000  4 Cd 3.04, 4 Ru 3.04
Cd  0.2500  0.2500  0.2500  4 Sc 3.04, 4 Sm 3.04
Ru  0.7500  0.7500  0.7500  4 Sm 3.04, 4 Sc 3.04

electronic total energy = -5.553 eV per atom
ΔE to the lowest computed polymorph = 143.3 meV/atom
symmetry = F-43m, No. 216
DOS at the Fermi energy = 1.048 states/eV per atom